A plane-wave DFT calculation with PBE with a Hubbard U was carried out for a relaxed structure of CrCdClO4.

It has space group C2/m (No. 12), with a = 12.2548 Å, b = 7.1604 Å, c = 5.7382 Å, α = 90.00°, β = 103.72° and γ = 90.00°. The distinct sites, in fractional coordinates, are Cr at (0.1407, 0.0000, 0.2701), Cd at (0.1945, 0.5000, 0.0860), Cl at (0.0063, 0.5000, 0.7379), O at (0.0004, 0.0000, 0.1887), O at (0.1733, 0.0000, 0.5647) and O at (0.1949, 0.1870, 0.1629).

As for the crystal system: monoclinic. The density comes out at 3.583 g/cm3. The value obtained for the uncorrected energy is -144.24 eV for the cell shown.